Compound: CaGa3Hg
Source: Alexandria via LeMat-Bulk
Functional: PBE
Structure: relaxed

a b c (Å): 6.1297 6.0823 6.6325
angles (deg): 90.00 117.47 90.00
Closest atoms and distances in Å follow each position.
Space group P2_1/m (No. 11)
Inequivalent atoms, fractional coordinates:
Ca (0.2490, 0.2500, 0.4975) [2 per cell]  4 Hg 3.28-3.30, 12 Ga 3.34-3.67
Ga (0.1317, 0.7500, 0.2623) [2 per cell]  1 Hg 2.62, 4 Ga 2.64
Ga (0.2459, 0.0006, 0.0002) [4 per cell]  2 Ga 2.64, 2 Hg 2.78
Hg (0.3526, 0.7500, 0.7071) [2 per cell]  5 Ga 2.62-2.78

The energy above the most stable polymorph in this dataset is 0.000 eV per atom. The raw total energy comes out at -2.592 eV per atom. As for the formation energy: -0.315 eV/atom.